(1)
## MgZn2Sb (GGA-PBE)

Data for a geometry-optimized MgZn2Sb structure.

a b c (Å): 3.3454 3.3454 25.7848
angles (deg): 90.00 90.00 120.00
Last column: nearest neighbours and their distance in Å.
Space group R3m (No. 160, hexagonal axes)
One atom of each set of equivalent atoms:
Mg 0.0000 0.0000 0.0000 (multiplicity 3)  3 Zn 2.82, 3 Sb 3.11
Zn 0.0000 0.0000 0.4831 (multiplicity 3)  3 Zn 2.64
Zn 0.0000 0.0000 0.7463 (multiplicity 3)  3 Zn 2.64, 3 Mg 2.82
Sb 0.0000 0.0000 0.2386 (multiplicity 3)  3 Zn 3.00, 3 Mg 3.11, 6 Sb 3.35

E_form (uncorrected) ... 0.038 eV per atom

=====

(2)
## Hf2MgZrH (GGA-PBE)

Data for a geometry-optimized Hf2MgZrH structure.

a b c (Å): 4.4542 4.4542 4.4901
angles (deg): 90.00 90.00 90.00
Last column: nearest neighbours and their distance in Å.
Space group P4/mmm (No. 123)
One atom of each set of equivalent atoms:
Hf 0.0000 0.5000 0.0000 (multiplicity 2)  2 H 2.23
Mg 0.0000 0.0000 0.5000 (multiplicity 1)  4 Zr 3.15, 8 Hf 3.16
Zr 0.5000 0.5000 0.5000 (multiplicity 1)  2 H 2.25
H 0.5000 0.5000 0.0000 (multiplicity 1)  4 Hf 2.23, 2 Zr 2.25

Distance to the lowest polymorph of the same formula ... 0.000 eV per formula unit

=====

Result set for magnetization: 0.0 0.0 μB per formula unit, one per record in the order listed.
Result set for calculated total energy: -0.1491 -0.4985 Ry/atom, one per record in the order listed.
Result set for theoretical density: 5.5 8.8 g/cm³, one per record in the order listed.